VASP calculation (PBE-GGA) on a relaxed structure of MgScMo2.

a b c (Å): 5.3825 5.3825 5.3825
angles (deg): 143.18 126.22 66.96
Atoms (fractional coordinates):
Mg 0.2390 0.7390 0.5000
Mo 0.7726 0.2726 0.5000
Mo 0.9697 0.9697 0.0000
Sc 0.5187 0.5187 0.0000

Values from the calculation:
Space-group type: Imm2
Formation energy (eV/atom): 0.1631
DOS(E_F) (states/eV per cell): 2.20